(1)
The following is a DFT calculation (GGA-PBE) of Mg2CoCu2 after structural relaxation.

a b c (Å): 3.8408 3.8408 11.2750
angles (deg): 90.00 90.00 90.00
Space group I4/mmm (No. 139)
Inequivalent atoms, fractional coordinates:
Mg  0.0000  0.5000  0.2500 x4
Co  0.0000  0.0000  0.0000 x2
Cu  0.0000  0.0000  0.4017 x4

Output
**E above lowest polymorph**: 0.4269 eV/atom
**DFT formation energy**: 0.56 eV per atom
**E**: -3.14 eV/atom
**Magnetization**: 3.4 Bohr magnetons per cell

=====

(2)
The following is a DFT calculation (GGA-PBE) of Mg6CoCu after structural relaxation.

a b c (Å): 4.6707 6.1722 10.2286
angles (deg): 90.00 90.00 90.00
Space group Amm2 (No. 38)
Inequivalent atoms, fractional coordinates:
Mg  0.0000  0.0000  0.0000 x2
Mg  0.0000  0.0000  0.4974 x2
Mg  0.0000  0.2448  0.2629 x4
Mg  0.5000  0.2484  0.5851 x4
Co  0.5000  0.0000  0.3373 x2
Cu  0.5000  0.0000  0.8373 x2

Output
**E above lowest polymorph**: 0.0522 eV/atom
**DFT formation energy**: 0.12 eV per atom
**E**: -2.47 eV/atom
**Magnetization**: 2.6 Bohr magnetons per cell

=====

(3)
The following is a DFT calculation (GGA-PBE) of Mg6CoCu after structural relaxation.

a b c (Å): 4.5348 6.7797 9.5175
angles (deg): 90.00 90.00 90.00
Space group Amm2 (No. 38)
Inequivalent atoms, fractional coordinates:
Mg  0.0000  0.0000  0.0000 x2
Mg  0.0000  0.2163  0.7465 x4
Mg  0.5000  0.0000  0.2653 x2
Mg  0.5000  0.2219  0.5237 x4
Co  0.5000  0.0000  0.7951 x2
Cu  0.0000  0.0000  0.4744 x2

Output
**E above lowest polymorph**: 0.0000 eV/atom
**DFT formation energy**: 0.07 eV per atom
**E**: -2.53 eV/atom
**Magnetization**: 1.7 Bohr magnetons per cell

=====

(4)
The following is a DFT calculation (GGA-PBE) of Mg3CoCu after structural relaxation.

a b c (Å): 4.7103 4.7103 4.7103
angles (deg): 90.00 90.00 90.00
Space group Pm-3m (No. 221)
Inequivalent atoms, fractional coordinates:
Mg  0.0000  0.0000  0.5000 x3
Co  0.0000  0.0000  0.0000 x1
Cu  0.5000  0.5000  0.5000 x1

Output
**E above lowest polymorph**: 0.0000 eV/atom
**DFT formation energy**: 0.54 eV per atom
**E**: -2.66 eV/atom
**Magnetization**: 0.0 Bohr magnetons per cell

=====

(5)
The following is a DFT calculation (GGA-PBE) of MgCo2Cu2 after structural relaxation.

a b c (Å): 7.0551 7.0551 2.6525
angles (deg): 90.00 90.00 90.00
Space group P4/mbm (No. 127)
Inequivalent atoms, fractional coordinates:
Mg  0.0000  0.0000  0.0000 x2
Co  0.1150  0.3850  0.0000 x4
Cu  0.1800  0.6800  0.5000 x4

Output
**E above lowest polymorph**: 0.0000 eV/atom
**DFT formation energy**: 0.21 eV per atom
**E**: -4.59 eV/atom
**Magnetization**: 5.9 Bohr magnetons per cell

=====

(6)
The following is a DFT calculation (GGA-PBE) of MgCoCu4 after structural relaxation.

a b c (Å): 6.8176 6.8176 6.8176
angles (deg): 90.00 90.00 90.00
Space group F-43m (No. 216)
Inequivalent atoms, fractional coordinates:
Mg  0.0000  0.0000  0.0000 x4
Co  0.2500  0.2500  0.7500 x4
Cu  0.1247  0.1247  0.3753 x16

Output
**DFT formation energy**: 0.11 eV per atom
**E**: -4.07 eV/atom
**Magnetization**: 5.0 Bohr magnetons per cell

=====

(7)
The following is a DFT calculation (GGA-PBE) of Mg2CoCu2 after structural relaxation.

a b c (Å): 6.2751 6.2751 3.8909
angles (deg): 90.00 90.00 90.00
Space group P4/mbm (No. 127)
Inequivalent atoms, fractional coordinates:
Mg  0.1759  0.3241  0.0000 x4
Co  0.0000  0.0000  0.5000 x2
Cu  0.1332  0.6332  0.5000 x4

Output
**E above lowest polymorph**: 0.0000 eV/atom
**DFT formation energy**: 0.13 eV per atom
**E**: -3.57 eV/atom
**Magnetization**: 2.2 Bohr magnetons per cell

=====

(8)
The following is a DFT calculation (GGA-PBE) of Mg2Co3Cu after structural relaxation.

a b c (Å): 8.3185 4.7841 4.9585
angles (deg): 90.00 124.30 90.00
Space group C2/m (No. 12)
Inequivalent atoms, fractional coordinates:
Mg  0.1226  0.0000  0.3676 x4
Co  0.0000  0.5000  0.0000 x2
Co  0.2500  0.2500  0.0000 x4
Cu  0.0000  0.5000  0.5000 x2

Output
**DFT formation energy**: -0.02 eV per atom
**E**: -4.79 eV/atom
**Magnetization**: 7.8 Bohr magnetons per cell

=====

(9)
The following is a DFT calculation (GGA-PBE) of Mg2CoCu2 after structural relaxation.

a b c (Å): 7.2635 7.2635 2.8568
angles (deg): 90.00 90.00 90.00
Space group P4/mbm (No. 127)
Inequivalent atoms, fractional coordinates:
Mg  0.1545  0.3455  0.0000 x4
Co  0.0000  0.0000  0.0000 x2
Cu  0.1434  0.6434  0.5000 x4

Output
**E above lowest polymorph**: 0.1635 eV/atom
**DFT formation energy**: 0.29 eV per atom
**E**: -3.40 eV/atom
**Magnetization**: 2.9 Bohr magnetons per cell

=====

(10)
The following is a DFT calculation (GGA-PBE) of MgCo2Cu2 after structural relaxation.

a b c (Å): 3.5949 3.5949 10.8660
angles (deg): 90.00 90.00 90.00
Space group I4/mmm (No. 139)
Inequivalent atoms, fractional coordinates:
Mg  0.0000  0.0000  0.0000 x2
Co  0.0000  0.0000  0.4004 x4
Cu  0.0000  0.5000  0.2500 x4

Output
**E above lowest polymorph**: 0.1050 eV/atom
**DFT formation energy**: 0.31 eV per atom
**E**: -4.49 eV/atom
**Magnetization**: 6.2 Bohr magnetons per cell

=====

(11)
The following is a DFT calculation (GGA-PBE) of MgCo2Cu2 after structural relaxation.

a b c (Å): 7.0492 7.0492 2.6459
angles (deg): 90.00 90.00 90.00
Space group P4/mbm (No. 127)
Inequivalent atoms, fractional coordinates:
Mg  0.0000  0.0000  0.0000 x2
Co  0.1697  0.3303  0.5000 x4
Cu  0.1262  0.6262  0.0000 x4

Output
**E above lowest polymorph**: 0.0419 eV/atom
**DFT formation energy**: 0.25 eV per atom
**E**: -4.55 eV/atom
**Magnetization**: 5.8 Bohr magnetons per cell

=====

(12)
The following is a DFT calculation (GGA-PBE) of MgCo2Cu2 after structural relaxation.

a b c (Å): 3.3770 3.3770 12.1466
angles (deg): 90.00 90.00 90.00
Space group I4/mmm (No. 139)
Inequivalent atoms, fractional coordinates:
Mg  0.0000  0.0000  0.0000 x2
Co  0.0000  0.5000  0.2500 x4
Cu  0.0000  0.0000  0.3993 x4

Output
**E above lowest polymorph**: 0.0282 eV/atom
**DFT formation energy**: 0.24 eV per atom
**E**: -4.56 eV/atom
**Magnetization**: 6.3 Bohr magnetons per cell